# AsP3Cl3 | Alexandria via LeMat-Bulk | PBE | relaxed
data_AsP3Cl3
_chemical_formula_sum 'As1 P3 Cl3'
_cell_length_a 5.404
_cell_length_b 5.404
_cell_length_c 5.404
_cell_angle_alpha 90.00
_cell_angle_beta 90.00
_cell_angle_gamma 90.00
_space_group_name_H-M_alt 'P 1'
_space_group_IT_number 1
_space_group_name_Hall 'P 1'
loop_
_atom_site_label
_atom_site_type_symbol
_atom_site_fract_x
_atom_site_fract_y
_atom_site_fract_z
As1 As 0.000 0.000 0.000
P1 P 0.000 0.500 0.500
P2 P 0.500 0.000 0.500
P3 P 0.500 0.500 0.000
Cl1 Cl 0.000 0.000 0.500
Cl2 Cl 0.000 0.500 0.000
Cl3 Cl 0.500 0.000 0.000
# * uncorrected formation energy: 117 kJ/mol of atoms
# * Fermi-level density of states: 9.91 states/eV/cell

# AsPCl2 | Alexandria via LeMat-Bulk | PBE | relaxed
data_AsPCl2
_chemical_formula_sum 'As1 P1 Cl2'
_cell_length_a 4.142
_cell_length_b 3.710
_cell_length_c 7.614
_cell_angle_alpha 90.00
_cell_angle_beta 92.06
_cell_angle_gamma 90.00
_space_group_name_H-M_alt 'P 1'
_space_group_IT_number 1
_space_group_name_Hall 'P 1'
loop_
_atom_site_label
_atom_site_type_symbol
_atom_site_fract_x
_atom_site_fract_y
_atom_site_fract_z
As1 As 0.000 0.000 0.000
P1 P 0.615 0.500 0.018
Cl1 Cl 0.609 0.500 0.291
Cl2 Cl 0.998 0.000 0.710
# * excess energy over the best structure of this formula in the dataset: 0 meV/atom
# * uncorrected formation energy: -36 kJ/mol of atoms

Number 1: raw total energy -17.948 eV per cell. Number 2: raw total energy -15.236 eV per cell.